No. 1
Below is crystalline LiLaReW2 at its relaxed geometry, with properties calculated at the PBE-GGA level.

```
LiLaReW2
1.0
-0.942 4.287 -2.143
1.454 -1.804 -4.248
-4.563 -1.471 -0.937
Re Li W La
1 1 2 1
Direct
0.000 0.500 0.000 Re
0.500 0.500 0.500 Li
0.000 0.000 0.500 W
0.500 0.000 0.000 W
0.000 0.000 0.000 La
```

Computed properties:
As for the formation energy: 14.1 eV per formula unit. As for the space-group type: P4/mmm. Its density is 10.06 g/cm3. The calculation puts the density of states at the Fermi level at 1.630 states/eV/atom. The calculation puts the uncorrected energy at -31.1 eV/cell. For the volume, the calculation gives 23.09 A^3/atom.

=====

No. 2
Below is crystalline Li2LaZrRe at its relaxed geometry, with properties calculated at the PBE-GGA level.

```
Li2LaZrRe
1.0
-4.737 -1.069 -1.222
1.565 -2.594 -3.797
0.183 -4.097 2.874
Re Li Zr La
1 2 1 1
Direct
0.000 0.000 0.000 Re
0.000 0.000 0.500 Li
0.500 0.000 0.000 Li
0.000 0.500 0.000 Zr
0.500 0.500 0.500 La
```

Computed properties:
As for the formation energy: 3.1 eV per formula unit. As for the space-group type: P4/mmm. Its density is 5.87 g/cm3. The calculation puts the density of states at the Fermi level at 1.230 states/eV/atom. The calculation puts the uncorrected energy at -26.6 eV/cell. For the volume, the calculation gives 24.36 A^3/atom.

=====

No. 3
Below is crystalline Li2LaRh at its relaxed geometry, with properties calculated at the PBE-GGA level.

```
Li2LaRh
1.0
4.005 -0.159 0.000
-1.782 4.928 0.000
0.000 0.000 8.801
Li La Rh
4 2 2
Direct
0.169 0.337 0.447 Li
0.831 0.663 0.553 Li
0.831 0.663 0.947 Li
0.169 0.337 0.053 Li
0.440 0.883 0.250 La
0.560 0.117 0.750 La
0.749 0.498 0.250 Rh
0.251 0.502 0.750 Rh
```

Computed properties:
As for the formation energy: -1.2 eV per formula unit. As for the space-group type: P2_1/m. The value obtained for the energy above the most stable polymorph in this dataset is 6.3 kJ/mol of atoms. Its density is 4.96 g/cm3. The calculation puts the density of states at the Fermi level at 0.535 states/eV/atom. The calculation puts the uncorrected energy at -34.6 eV/cell. For the volume, the calculation gives 21.40 A^3/atom.

=====

No. 4
Below is crystalline Li2LaRh at its relaxed geometry, with properties calculated at the PBE-GGA level.

```
Li2LaRh
1.0
-0.048 -4.005 2.793
2.687 -2.392 -3.301
1.360 4.150 2.184
La Li Rh
1 2 1
Direct
0.265 0.765 0.500 La
0.970 0.970 0.000 Li
0.741 0.241 0.500 Li
0.524 0.524 0.000 Rh
```

Computed properties:
As for the formation energy: -0.8 eV per formula unit. As for the space-group type: Imm2. The value obtained for the energy above the most stable polymorph in this dataset is 16.1 kJ/mol of atoms. Its density is 5.22 g/cm3. The calculation puts the density of states at the Fermi level at 0.452 states/eV/atom. The calculation puts the uncorrected energy at -16.9 eV/cell. For the volume, the calculation gives 20.33 A^3/atom.

=====

No. 5
Below is crystalline Li2LaRh at its relaxed geometry, with properties calculated at the PBE-GGA level.

```
Li2LaRh
1.0
-2.500 -2.479 1.921
-1.771 -0.907 -3.475
1.573 -4.794 -4.139
La Li Rh
1 2 1
Direct
0.000 0.000 0.500 La
0.000 0.000 0.000 Li
0.500 0.500 0.000 Li
0.500 0.500 0.500 Rh
```

Computed properties:
As for the formation energy: -1.1 eV per formula unit. As for the space-group type: P2/m. The value obtained for the energy above the most stable polymorph in this dataset is 8.5 kJ/mol of atoms. Its density is 5.11 g/cm3. The calculation puts the density of states at the Fermi level at 0.570 states/eV/atom. The calculation puts the uncorrected energy at -17.2 eV/cell. For the volume, the calculation gives 20.76 A^3/atom.

=====

No. 6
Below is crystalline Li2LaRh at its relaxed geometry, with properties calculated at the PBE-GGA level.

```
Li2LaRh
1.0
0.000 3.301 3.301
3.301 0.000 3.301
3.301 3.301 0.000
Li Rh La
2 1 1
Direct
0.250 0.250 0.250 Li
0.750 0.750 0.750 Li
0.000 0.000 0.000 Rh
0.500 0.500 0.500 La
```

Computed properties:
As for the formation energy: -0.5 eV per formula unit. As for the space-group type: Fm-3m. The value obtained for the energy above the most stable polymorph in this dataset is 24.0 kJ/mol of atoms. Its density is 5.90 g/cm3. The calculation puts the density of states at the Fermi level at 0.584 states/eV/atom. The calculation puts the uncorrected energy at -16.6 eV/cell. For the volume, the calculation gives 17.98 A^3/atom.

=====

No. 7
Below is crystalline Li4LaRh2 at its relaxed geometry, with properties calculated at the PBE-GGA level.

```
Li4LaRh2
1.0
-2.698 -2.623 1.380
2.120 -2.974 -1.506
3.033 0.909 7.655
Li La Rh
4 1 2
Direct
0.500 0.815 0.630 Li
0.000 0.677 0.354 Li
0.500 0.185 0.370 Li
0.000 0.323 0.646 Li
0.000 0.000 0.000 La
0.500 0.583 0.165 Rh
0.500 0.417 0.835 Rh
```

Computed properties:
As for the formation energy: -1.7 eV per formula unit. As for the space-group type: Cmmm. Its density is 4.86 g/cm3. The calculation puts the density of states at the Fermi level at 0.376 states/eV/atom. The calculation puts the uncorrected energy at -29.0 eV/cell. For the volume, the calculation gives 18.20 A^3/atom.

=====

No. 8
Below is crystalline LiLaRh2 at its relaxed geometry, with properties calculated at the PBE-GGA level.

```
LiLaRh2
1.0
-1.204 -2.883 -4.276
5.231 0.559 0.607
0.980 -2.805 0.686
La Li Rh
1 1 2
Direct
0.500 0.000 0.500 La
0.000 0.500 0.500 Li
0.000 0.000 0.000 Rh
0.500 0.500 0.000 Rh
```

Computed properties:
As for the formation energy: -1.0 eV per formula unit. As for the space-group type: C2/m. Its density is 8.20 g/cm3. The calculation puts the density of states at the Fermi level at 0.546 states/eV/atom. The calculation puts the uncorrected energy at -22.5 eV/cell. For the volume, the calculation gives 17.80 A^3/atom.

=====

No. 9
Below is crystalline LiLaRh2 at its relaxed geometry, with properties calculated at the PBE-GGA level.

```
LiLaRh2
1.0
-0.443 2.130 3.681
-0.168 -3.710 2.127
3.859 0.069 0.425
Li Rh La
1 2 1
Direct
0.000 0.500 0.500 Li
0.000 0.000 0.000 Rh
0.500 0.500 0.000 Rh
0.500 0.000 0.500 La
```

Computed properties:
As for the formation energy: -1.7 eV per formula unit. As for the space-group type: P4/mmm. Its density is 8.22 g/cm3. The calculation puts the density of states at the Fermi level at 0.515 states/eV/atom. The calculation puts the uncorrected energy at -23.3 eV/cell. For the volume, the calculation gives 17.77 A^3/atom.

=====

No. 10
Below is crystalline Li2LaRh at its relaxed geometry, with properties calculated at the PBE-GGA level.

```
Li2LaRh
1.0
-5.032 2.287 0.373
-4.402 -3.220 -0.973
4.607 -0.206 3.069
Li Rh La
2 1 1
Direct
0.999 0.999 0.000 Li
0.501 0.501 0.000 Li
0.750 0.250 0.500 Rh
0.250 0.750 0.500 La
```

Computed properties:
As for the formation energy: -1.5 eV per formula unit. As for the space-group type: Immm. The value obtained for the energy above the most stable polymorph in this dataset is 0.0 kJ/mol of atoms. Its density is 5.50 g/cm3. The calculation puts the density of states at the Fermi level at 0.242 states/eV/atom. The calculation puts the uncorrected energy at -17.6 eV/cell. For the volume, the calculation gives 19.31 A^3/atom.

=====

No. 11
Below is crystalline LiLa3Rh at its relaxed geometry, with properties calculated at the PBE-GGA level.

```
LiLa3Rh
1.0
6.281 0.003 -0.005
0.003 6.524 -0.001
-0.005 0.001 7.877
Li La Rh
2 6 2
Direct
0.435 0.341 0.701 Li
0.935 0.012 0.201 Li
0.429 0.339 0.200 La
0.416 0.867 0.952 La
0.917 0.486 0.452 La
0.928 0.013 0.700 La
0.916 0.487 0.950 La
0.416 0.866 0.450 La
0.182 0.662 0.701 Rh
0.682 0.691 0.201 Rh
```

Computed properties:
As for the formation energy: -1.0 eV per formula unit. As for the space-group type: P1. The value obtained for the energy above the most stable polymorph in this dataset is 0.2 kJ/mol of atoms. Its density is 5.42 g/cm3. The calculation puts the density of states at the Fermi level at 1.184 states/eV/atom. The calculation puts the uncorrected energy at -50.2 eV/cell. For the volume, the calculation gives 32.28 A^3/atom.

=====

No. 12
Below is crystalline LiLaRh2 at its relaxed geometry, with properties calculated at the PBE-GGA level.

```
LiLaRh2
1.0
4.679 0.000 0.000
2.339 4.052 0.000
2.339 1.351 3.820
La Li Rh
1 1 2
Direct
0.500 0.500 0.500 La
0.750 0.750 0.750 Li
0.000 0.000 0.000 Rh
0.250 0.250 0.250 Rh
```

Computed properties:
As for the formation energy: -1.0 eV per formula unit. As for the space-group type: F-43m. Its density is 8.06 g/cm3. The calculation puts the density of states at the Fermi level at 1.285 states/eV/atom. The calculation puts the uncorrected energy at -22.5 eV/cell. For the volume, the calculation gives 18.11 A^3/atom.

=====

No. 13
Below is crystalline Li2LaRh at its relaxed geometry, with properties calculated at the PBE-GGA level.

```
Li2LaRh
1.0
-1.978 0.940 3.193
-3.383 -0.097 -2.067
-2.305 -5.553 0.206
Li Rh La
2 1 1
Direct
0.000 0.011 0.104 Li
0.500 0.454 0.218 Li
0.000 0.301 0.524 Rh
0.500 0.735 0.654 La
```

Computed properties:
As for the formation energy: -1.2 eV per formula unit. As for the space-group type: Pm. The value obtained for the energy above the most stable polymorph in this dataset is 6.9 kJ/mol of atoms. Its density is 4.87 g/cm3. The calculation puts the density of states at the Fermi level at 0.324 states/eV/atom. The calculation puts the uncorrected energy at -17.3 eV/cell. For the volume, the calculation gives 21.79 A^3/atom.

=====

No. 14
Below is crystalline LiLaRh at its relaxed geometry, with properties calculated at the PBE-GGA level.

```
LiLaRh
1.0
-1.801 1.679 -3.211
0.506 -3.433 -2.079
-6.887 -2.547 2.531
Li La Rh
2 2 2
Direct
0.023 0.338 0.023 Li
0.523 0.838 0.024 Li
0.023 0.838 0.688 La
0.523 0.338 0.358 La
0.523 0.338 0.762 Rh
0.023 0.838 0.285 Rh
```

Computed properties:
As for the formation energy: -1.6 eV per formula unit. As for the space-group type: P4/nmm. The value obtained for the energy above the most stable polymorph in this dataset is 0.0 kJ/mol of atoms. Its density is 6.50 g/cm3. The calculation puts the density of states at the Fermi level at 0.616 states/eV/atom. The calculation puts the uncorrected energy at -31.6 eV/cell. For the volume, the calculation gives 21.19 A^3/atom.

=====

No. 15
Below is crystalline LiLaRh2 at its relaxed geometry, with properties calculated at the PBE-GGA level.

```
LiLaRh2
1.0
-3.925 0.462 -3.357
-4.041 -3.015 1.209
2.876 3.397 2.660
La Li Rh
1 1 2
Direct
0.500 0.500 0.000 La
0.750 0.250 0.500 Li
0.000 0.000 0.000 Rh
0.250 0.750 0.500 Rh
```

Computed properties:
As for the formation energy: -1.3 eV per formula unit. As for the space-group type: I-4m2. Its density is 8.21 g/cm3. The calculation puts the density of states at the Fermi level at 0.413 states/eV/atom. The calculation puts the uncorrected energy at -22.9 eV/cell. For the volume, the calculation gives 17.79 A^3/atom.

=====

No. 16
Below is crystalline Li2LaRh at its relaxed geometry, with properties calculated at the PBE-GGA level.

```
Li2LaRh
1.0
-1.539 -0.252 2.520
2.299 -1.862 -0.183
5.801 6.748 4.218
La Li Rh
1 2 1
Direct
0.500 0.500 0.750 La
0.000 0.000 0.059 Li
0.000 0.000 0.441 Li
0.500 0.500 0.250 Rh
```

Computed properties:
As for the formation energy: 0.8 eV per formula unit. As for the space-group type: Cmmm. The value obtained for the energy above the most stable polymorph in this dataset is 55.2 kJ/mol of atoms. Its density is 5.36 g/cm3. The calculation puts the density of states at the Fermi level at 0.959 states/eV/atom. The calculation puts the uncorrected energy at -15.3 eV/cell. For the volume, the calculation gives 19.80 A^3/atom.

=====

No. 17
Below is crystalline LiLaRh at its relaxed geometry, with properties calculated at the PBE-GGA level.

```
LiLaRh
1.0
4.668 0.000 0.000
2.334 4.043 0.000
2.334 1.348 3.812
La Li Rh
1 1 1
Direct
0.000 0.000 0.000 La
0.500 0.500 0.500 Li
0.750 0.750 0.750 Rh
```

Computed properties:
As for the formation energy: -0.9 eV per formula unit. As for the space-group type: F-43m. The value obtained for the energy above the most stable polymorph in this dataset is 22.3 kJ/mol of atoms. Its density is 5.74 g/cm3. The calculation puts the density of states at the Fermi level at 1.346 states/eV/atom. The calculation puts the uncorrected energy at -15.1 eV/cell. For the volume, the calculation gives 23.98 A^3/atom.

=====

No. 18
Below is crystalline LiLa4Rh at its relaxed geometry, with properties calculated at the PBE-GGA level.

```
LiLa4Rh
1.0
0.000 4.494 4.494
4.494 0.000 4.494
4.494 4.494 0.000
Li La Rh
1 4 1
Direct
0.750 0.750 0.750 Li
0.883 0.372 0.372 La
0.372 0.372 0.883 La
0.372 0.883 0.372 La
0.372 0.372 0.372 La
0.000 0.000 0.000 Rh
```

Computed properties:
As for the formation energy: 3.3 eV per formula unit. As for the space-group type: F-43m. The value obtained for the energy above the most stable polymorph in this dataset is 81.9 kJ/mol of atoms. Its density is 6.09 g/cm3. The calculation puts the density of states at the Fermi level at 1.881 states/eV/atom. The calculation puts the uncorrected energy at -25.7 eV/cell. For the volume, the calculation gives 30.26 A^3/atom.

=====

No. 19
Below is crystalline LiLaRh2 at its relaxed geometry, with properties calculated at the PBE-GGA level.

```
LiLaRh2
1.0
3.443 -0.001 0.000
0.001 3.443 0.000
0.000 0.000 6.041
La Li Rh
1 1 2
Direct
0.500 0.500 0.250 La
0.500 0.500 0.750 Li
0.000 0.000 0.981 Rh
0.000 0.000 0.519 Rh
```

Computed properties:
As for the formation energy: -1.3 eV per formula unit. As for the space-group type: P4/mmm. Its density is 8.15 g/cm3. The calculation puts the density of states at the Fermi level at 0.283 states/eV/atom. The calculation puts the uncorrected energy at -22.9 eV/cell. For the volume, the calculation gives 17.91 A^3/atom.

=====

No. 20
Below is crystalline LiLaRh at its relaxed geometry, with properties calculated at the PBE-GGA level.

```
LiLaRh
1.0
5.451 0.031 -0.013
3.006 4.545 0.015
-4.221 -2.300 2.566
La Li Rh
1 1 1
Direct
0.019 0.020 0.999 La
0.310 0.310 0.000 Li
0.671 0.670 0.001 Rh
```

Computed properties:
As for the formation energy: -0.8 eV per formula unit. As for the space-group type: Cm. The value obtained for the energy above the most stable polymorph in this dataset is 24.4 kJ/mol of atoms. Its density is 6.52 g/cm3. The calculation puts the density of states at the Fermi level at 0.958 states/eV/atom. The calculation puts the uncorrected energy at -15.0 eV/cell. For the volume, the calculation gives 21.11 A^3/atom.